Compound: LaCoPtF2
Source: the Alexandria database
Functional: PBE with a Hubbard U
Structure: optimized geometry

Calculated values
M_tot = 2.23 Bohr magnetons per cell
E = -5.282 eV per atom

a b c (Å): 4.3408 6.4977 4.3408
angles (deg): 90.00 90.00 90.00
Closest atoms and distances in Å follow each position.
Positions (direct):
F1 0.0000 0.0000 0.5000  2 La 2.17
F2 0.5000 0.0000 0.0000  2 La 2.17
Co1 0.0000 0.5000 0.0000  4 Pt 3.07, 2 La 3.25
Pt1 0.5000 0.5000 0.5000  4 Co 3.07
La1 0.0000 0.0000 0.0000  4 F 2.17